i) First-principles (PBE) data for a geometry-optimized PmNd5Y2 structure, as listed in Alexandria via LeMat-Bulk.

Unit cell a=6.9412 b=9.4494 c=9.4517 alpha=85.32 beta=71.32 gamma=71.33
Last column: nearest neighbours and their distance in Å.
Sites, in units of the cell vectors:
Pm: 0.2484 0.2103 0.2928  9 Nd 3.62-3.71, 3 Y 3.63-3.71
Pm: 0.7516 0.7897 0.7072  9 Nd 3.62-3.71, 3 Y 3.63-3.71
Nd: 0.0018 0.0813 0.6666  4 Y 3.62-3.68, 6 Nd 3.63-3.72, 2 Pm 3.64-3.70
Nd: 0.2504 0.0405 0.9594  8 Nd 3.62-3.70, 2 Pm 3.65-3.71, 2 Y 3.70
Nd: 0.2501 0.5417 0.4586  2 Pm 3.62-3.67, 6 Nd 3.62-3.72, 4 Y 3.64-3.69
Nd: 0.2511 0.7077 0.7902  7 Nd 3.62-3.70, 2 Pm 3.63, 3 Y 3.63-3.71
Nd: 0.4974 0.3334 0.9184  4 Y 3.61-3.69, 7 Nd 3.63-3.72, 1 Pm 3.68
Nd: 0.5026 0.6666 0.0816  4 Y 3.61-3.69, 7 Nd 3.63-3.72, 1 Pm 3.68
Nd: 0.7489 0.2923 0.2098  7 Nd 3.62-3.70, 2 Pm 3.63, 3 Y 3.63-3.71
Nd: 0.7499 0.4583 0.5414  2 Pm 3.62-3.67, 6 Nd 3.62-3.72, 4 Y 3.64-3.69
Nd: 0.7496 0.9595 0.0406  8 Nd 3.62-3.70, 2 Pm 3.65-3.71, 2 Y 3.70
Nd: 0.9982 0.9187 0.3334  4 Y 3.62-3.68, 6 Nd 3.63-3.72, 2 Pm 3.64-3.70
Y: 0.0021 0.4156 0.8324  9 Nd 3.61-3.71, 2 Y 3.65-3.67, 1 Pm 3.69
Y: 0.4982 0.1666 0.5842  8 Nd 3.62-3.70, 2 Pm 3.63-3.71, 2 Y 3.63-3.67
Y: 0.5018 0.8334 0.4158  8 Nd 3.62-3.70, 2 Pm 3.63-3.71, 2 Y 3.63-3.67
Y: 0.9979 0.5844 0.1676  9 Nd 3.61-3.71, 2 Y 3.65-3.67, 1 Pm 3.69

Calculated values
The calculation puts the magnetization at 0.0 Bohr magnetons per cell.

---

ii) First-principles (PBE) data for a geometry-optimized PmNd5Y2 structure, as listed in Alexandria via LeMat-Bulk.

Unit cell a=7.2980 b=14.5971 c=5.1571 alpha=90.00 beta=90.00 gamma=90.00
Last column: nearest neighbours and their distance in Å.
Sites, in units of the cell vectors:
Pm: 0.0000 0.0000 0.0000  8 Nd 3.64-3.65, 4 Y 3.65
Pm: 0.5000 0.5000 0.0000  8 Nd 3.64-3.65, 4 Y 3.65
Nd: 0.9996 0.2497 0.0000  1 Pm 3.65, 7 Nd 3.65, 4 Y 3.65
Nd: 0.0000 0.5000 0.0000  4 Y 3.64, 2 Pm 3.65, 6 Nd 3.65
Nd: 0.0004 0.7503 0.0000  1 Pm 3.65, 7 Nd 3.65, 4 Y 3.65
Nd: 0.2493 0.1249 0.5000  4 Y 3.64-3.66, 2 Pm 3.64, 6 Nd 3.65
Nd: 0.2507 0.6249 0.5000  4 Y 3.64-3.66, 2 Pm 3.64, 6 Nd 3.65
Nd: 0.5000 0.0000 0.0000  4 Y 3.64, 2 Pm 3.65, 6 Nd 3.65
Nd: 0.4996 0.2503 0.0000  1 Pm 3.65, 7 Nd 3.65, 4 Y 3.65
Nd: 0.5004 0.7497 0.0000  1 Pm 3.65, 7 Nd 3.65, 4 Y 3.65
Nd: 0.7493 0.3751 0.5000  4 Y 3.64-3.66, 2 Pm 3.64, 6 Nd 3.65
Nd: 0.7507 0.8751 0.5000  4 Y 3.64-3.66, 2 Pm 3.64, 6 Nd 3.65
Y: 0.2497 0.3754 0.5000  10 Nd 3.64-3.66, 2 Pm 3.65
Y: 0.2503 0.8754 0.5000  10 Nd 3.64-3.66, 2 Pm 3.65
Y: 0.7497 0.1246 0.5000  10 Nd 3.64-3.66, 2 Pm 3.65
Y: 0.7503 0.6246 0.5000  10 Nd 3.64-3.66, 2 Pm 3.65

Calculated values
The calculation puts the magnetization at 0.0 Bohr magnetons per cell.

---

Which of them is the most stable, and which is the least stable? ii) and i), in that order.